# ErHgH

A geometry-optimized ErHgH structure (PBE, Alexandria via LeMat-Bulk).

Lattice parameters (Å, degrees): 3.7284 3.7284 4.6711 90.00 90.00 120.00
Closest atoms and distances in Å follow each position.
Positions (direct):
Er  0.0000  0.0000  0.0000  3 H 2.15
Hg  0.6667  0.3333  0.5000  6 Er 3.18, 6 H 3.18
H  0.3333  0.6667  0.0000  3 Er 2.15

Output
total moment	0.00	μB per formula unit
E above lowest polymorph	0.426	eV/f.u.
energy	-3.1379	eV per atom